(1)
Ce2Pm3Pt7 | PBE | relaxed

The structure in CIF format:
```
data_Ce2Pm3Pt7
_chemical_formula_sum 'Ce2 Pm3 Pt7'
_symmetry_space_group_name_H-M 'P 1'
_symmetry_Int_Tables_number 1
_symmetry_space_group_name_Hall 'P 1'
_cell_length_a 10.797
_cell_length_b 10.797
_cell_length_c 5.272
_cell_angle_alpha 90.00
_cell_angle_beta 90.00
_cell_angle_gamma 153.25
loop_
_atom_site_label
_atom_site_type_symbol
_atom_site_fract_x
_atom_site_fract_y
_atom_site_fract_z
Ce1 Ce 0.137 0.863 0.000
Ce2 Ce 0.863 0.137 0.000
Pm1 Pm 0.329 0.671 0.500
Pm2 Pm 0.500 0.500 0.500
Pm3 Pm 0.671 0.329 0.500
Pt1 Pt 0.000 0.000 0.000
Pt2 Pt 0.090 0.910 0.500
Pt3 Pt 0.276 0.724 0.000
Pt4 Pt 0.428 0.572 0.000
Pt5 Pt 0.572 0.428 0.000
Pt6 Pt 0.724 0.276 0.000
Pt7 Pt 0.910 0.090 0.500
```

**ΔE_f**: -921 meV/atom
**Size of the total moment**: 0.0 μB per formula unit
**DOS(E_F)**: 7.7 states/eV/f.u.

***

(2)
PmMg2GeAu4 | PBE | relaxed

The structure in CIF format:
```
data_PmMg2GeAu4
_chemical_formula_sum 'Pm1 Mg2 Ge1 Au4'
_symmetry_space_group_name_H-M 'P 1'
_symmetry_Int_Tables_number 1
_symmetry_space_group_name_Hall 'P 1'
_cell_length_a 9.459
_cell_length_b 9.459
_cell_length_c 9.459
_cell_angle_alpha 27.99
_cell_angle_beta 27.99
_cell_angle_gamma 27.99
loop_
_atom_site_label
_atom_site_type_symbol
_atom_site_fract_x
_atom_site_fract_y
_atom_site_fract_z
Pm1 Pm 0.000 0.000 0.000
Mg1 Mg 0.241 0.241 0.241
Mg2 Mg 0.759 0.759 0.759
Ge1 Ge 0.500 0.500 0.500
Au1 Au 0.125 0.125 0.125
Au2 Au 0.392 0.392 0.392
Au3 Au 0.608 0.608 0.608
Au4 Au 0.875 0.875 0.875
```

**ΔE_f**: -506 meV/atom
**Size of the total moment**: 0.0 μB per formula unit
**DOS(E_F)**: 3.4 states/eV/f.u.

***

(3)
VGaIr2 | PBE | relaxed

The structure in CIF format:
```
data_VGaIr2
_chemical_formula_sum 'V1 Ga1 Ir2'
_symmetry_space_group_name_H-M 'P 1'
_symmetry_Int_Tables_number 1
_symmetry_space_group_name_Hall 'P 1'
_cell_length_a 4.972
_cell_length_b 4.972
_cell_length_c 4.972
_cell_angle_alpha 48.71
_cell_angle_beta 48.71
_cell_angle_gamma 48.71
loop_
_atom_site_label
_atom_site_type_symbol
_atom_site_fract_x
_atom_site_fract_y
_atom_site_fract_z
V1 V 0.000 0.000 0.000
Ga1 Ga 0.808 0.808 0.808
Ir1 Ir 0.385 0.385 0.385
Ir2 Ir 0.588 0.588 0.588
```

**ΔE_f**: -208 meV/atom
**Size of the total moment**: 0.0 μB per formula unit
**DOS(E_F)**: 2.7 states/eV/f.u.

***

(4)
LiCaHBrF2 | PBE | relaxed

The structure in CIF format:
```
data_LiCaHBrF2
_chemical_formula_sum 'Li1 Ca1 H1 Br1 F2'
_symmetry_space_group_name_H-M 'P 1'
_symmetry_Int_Tables_number 1
_symmetry_space_group_name_Hall 'P 1'
_cell_length_a 3.801
_cell_length_b 4.159
_cell_length_c 6.067
_cell_angle_alpha 89.80
_cell_angle_beta 89.65
_cell_angle_gamma 90.00
loop_
_atom_site_label
_atom_site_type_symbol
_atom_site_fract_x
_atom_site_fract_y
_atom_site_fract_z
Li1 Li 0.000 0.000 0.000
Ca1 Ca 0.497 0.499 0.285
H1 H 0.994 0.498 0.548
Br1 Br 0.994 0.998 0.555
F1 F 0.499 0.000 0.107
F2 F 0.999 0.500 0.083
```

**Relative energy among the computed polymorphs**: 0 meV/atom
**Size of the total moment**: 0.0 μB per formula unit
**DOS(E_F)**: 1.0 states/eV/f.u.

***

(5)
AcEr2RhO8 | PBE | relaxed

The structure in CIF format:
```
data_AcEr2RhO8
_chemical_formula_sum 'Ac1 Er2 Rh1 O8'
_symmetry_space_group_name_H-M 'P 1'
_symmetry_Int_Tables_number 1
_symmetry_space_group_name_Hall 'P 1'
_cell_length_a 5.031
_cell_length_b 7.055
_cell_length_c 5.033
_cell_angle_alpha 90.00
_cell_angle_beta 90.04
_cell_angle_gamma 90.00
loop_
_atom_site_label
_atom_site_type_symbol
_atom_site_fract_x
_atom_site_fract_y
_atom_site_fract_z
Ac1 Ac 0.000 0.000 0.000
Er1 Er 0.500 0.264 0.500
Er2 Er 0.500 0.736 0.500
Rh1 Rh 0.000 0.500 0.000
O1 O 0.189 0.300 0.813
O2 O 0.189 0.700 0.813
O3 O 0.278 0.500 0.280
O4 O 0.327 0.000 0.329
O5 O 0.673 0.000 0.671
O6 O 0.722 0.500 0.720
O7 O 0.811 0.300 0.187
O8 O 0.811 0.700 0.187
```

**E_form (uncorrected)**: -51.09 kcal/mol of atoms
**Size of the total moment**: 2.5 μB per formula unit
**DOS(E_F)**: 5.3 states/eV/f.u.

***

(6)
RhWAu2 | PBE | relaxed

The structure in CIF format:
```
data_RhWAu2
_chemical_formula_sum 'Rh1 W1 Au2'
_symmetry_space_group_name_H-M 'P 1'
_symmetry_Int_Tables_number 1
_symmetry_space_group_name_Hall 'P 1'
_cell_length_a 4.781
_cell_length_b 4.781
_cell_length_c 2.899
_cell_angle_alpha 90.00
_cell_angle_beta 90.00
_cell_angle_gamma 90.00
loop_
_atom_site_label
_atom_site_type_symbol
_atom_site_fract_x
_atom_site_fract_y
_atom_site_fract_z
Rh1 Rh 0.000 0.000 0.000
W1 W 0.500 0.500 0.000
Au1 Au 0.000 0.500 0.500
Au2 Au 0.500 0.000 0.500
```

**Relative energy among the computed polymorphs**: 448 meV/atom
**ΔE_f**: 495 meV/atom
**Size of the total moment**: 0.0 μB per formula unit
**DOS(E_F)**: 4.4 states/eV/f.u.

***

(7)
YAsNO2 | PBE | relaxed

The structure in CIF format:
```
data_YAsNO2
_chemical_formula_sum 'Y1 As1 N1 O2'
_symmetry_space_group_name_H-M 'P 1'
_symmetry_Int_Tables_number 1
_symmetry_space_group_name_Hall 'P 1'
_cell_length_a 3.899
_cell_length_b 3.899
_cell_length_c 3.950
_cell_angle_alpha 90.00
_cell_angle_beta 90.00
_cell_angle_gamma 90.00
loop_
_atom_site_label
_atom_site_type_symbol
_atom_site_fract_x
_atom_site_fract_y
_atom_site_fract_z
Y1 Y 0.000 0.000 0.000
As1 As 0.500 0.500 0.500
N1 N 0.500 0.500 0.000
O1 O 0.000 0.500 0.500
O2 O 0.500 0.000 0.500
```

**E_form (uncorrected)**: -27.91 kcal/mol of atoms
**Size of the total moment**: 0.0 μB per formula unit
**DOS(E_F)**: 0.5 states/eV/f.u.

***

(8)
Ce2Nd3HoSe6 | PBE | relaxed

The structure in CIF format:
```
data_Ce2Nd3HoSe6
_chemical_formula_sum 'Ce2 Nd3 Ho1 Se6'
_symmetry_space_group_name_H-M 'P 1'
_symmetry_Int_Tables_number 1
_symmetry_space_group_name_Hall 'P 1'
_cell_length_a 7.255
_cell_length_b 7.255
_cell_length_c 7.278
_cell_angle_alpha 99.59
_cell_angle_beta 99.59
_cell_angle_gamma 120.08
loop_
_atom_site_label
_atom_site_type_symbol
_atom_site_fract_x
_atom_site_fract_y
_atom_site_fract_z
Ce1 Ce 0.166 0.834 0.000
Ce2 Ce 0.834 0.166 0.000
Nd1 Nd 0.000 0.000 0.500
Nd2 Nd 0.332 0.668 0.500
Nd3 Nd 0.668 0.332 0.500
Ho1 Ho 0.500 0.500 0.000
Se1 Se 0.093 0.420 0.758
Se2 Se 0.255 0.255 0.245
Se3 Se 0.420 0.093 0.758
Se4 Se 0.580 0.907 0.242
Se5 Se 0.745 0.745 0.755
Se6 Se 0.907 0.580 0.242
```

**E_form (uncorrected)**: -41.93 kcal/mol of atoms
**Size of the total moment**: 1.8 μB per formula unit
**DOS(E_F)**: 14.8 states/eV/f.u.

***

(9)
ZnSbAu2 | PBE | relaxed

The structure in CIF format:
```
data_ZnSbAu2
_chemical_formula_sum 'Zn1 Sb1 Au2'
_symmetry_space_group_name_H-M 'P 1'
_symmetry_Int_Tables_number 1
_symmetry_space_group_name_Hall 'P 1'
_cell_length_a 4.823
_cell_length_b 4.823
_cell_length_c 4.823
_cell_angle_alpha 60.00
_cell_angle_beta 60.00
_cell_angle_gamma 60.00
loop_
_atom_site_label
_atom_site_type_symbol
_atom_site_fract_x
_atom_site_fract_y
_atom_site_fract_z
Zn1 Zn 0.000 0.000 0.000
Sb1 Sb 0.500 0.500 0.500
Au1 Au 0.250 0.250 0.250
Au2 Au 0.750 0.750 0.750
```

**Relative energy among the computed polymorphs**: 164 meV/atom
**E_form (uncorrected)**: 2.27 kcal/mol of atoms
**Size of the total moment**: 0.0 μB per formula unit
**DOS(E_F)**: 3.0 states/eV/f.u.

***

(10)
HoThCoCl | PBE | relaxed

The structure in CIF format:
```
data_HoThCoCl
_chemical_formula_sum 'Ho1 Th1 Co1 Cl1'
_symmetry_space_group_name_H-M 'P 1'
_symmetry_Int_Tables_number 1
_symmetry_space_group_name_Hall 'P 1'
_cell_length_a 7.885
_cell_length_b 7.885
_cell_length_c 7.885
_cell_angle_alpha 28.89
_cell_angle_beta 28.89
_cell_angle_gamma 28.89
loop_
_atom_site_label
_atom_site_type_symbol
_atom_site_fract_x
_atom_site_fract_y
_atom_site_fract_z
Ho1 Ho 0.000 0.000 0.000
Th1 Th 0.792 0.792 0.792
Co1 Co 0.400 0.400 0.400
Cl1 Cl 0.233 0.233 0.233
```

**E_form (uncorrected)**: -18.93 kcal/mol of atoms
**Size of the total moment**: 0.0 μB per formula unit
**DOS(E_F)**: 3.0 states/eV/f.u.

***

(11)
Pm3Al5Cu6 | PBE | relaxed

The structure in CIF format:
```
data_Pm3Al5Cu6
_chemical_formula_sum 'Pm3 Al5 Cu6'
_symmetry_space_group_name_H-M 'P 1'
_symmetry_Int_Tables_number 1
_symmetry_space_group_name_Hall 'P 1'
_cell_length_a 8.120
_cell_length_b 8.120
_cell_length_c 8.120
_cell_angle_alpha 148.84
_cell_angle_beta 113.67
_cell_angle_gamma 75.09
loop_
_atom_site_label
_atom_site_type_symbol
_atom_site_fract_x
_atom_site_fract_y
_atom_site_fract_z
Pm1 Pm 0.000 0.000 0.000
Pm2 Pm 0.306 0.306 0.000
Pm3 Pm 0.694 0.694 0.000
Al1 Al 0.015 0.665 0.350
Al2 Al 0.314 0.665 0.650
Al3 Al 0.500 0.000 0.500
Al4 Al 0.686 0.335 0.350
Al5 Al 0.985 0.335 0.650
Cu1 Cu 0.151 0.870 0.281
Cu2 Cu 0.307 0.500 0.807
Cu3 Cu 0.411 0.130 0.281
Cu4 Cu 0.589 0.870 0.719
Cu5 Cu 0.693 0.500 0.193
Cu6 Cu 0.849 0.130 0.719
```

**ΔE_f**: -368 meV/atom
**Size of the total moment**: 0.0 μB per formula unit
**DOS(E_F)**: 7.3 states/eV/f.u.

***

(12)
Rb2ZrAlSe5 | PBE | relaxed

The structure in CIF format:
```
data_Rb2ZrAlSe5
_chemical_formula_sum 'Rb4 Zr2 Al2 Se10'
_symmetry_space_group_name_H-M 'P 1'
_symmetry_Int_Tables_number 1
_symmetry_space_group_name_Hall 'P 1'
_cell_length_a 10.611
_cell_length_b 10.611
_cell_length_c 14.876
_cell_angle_alpha 90.00
_cell_angle_beta 90.00
_cell_angle_gamma 159.21
loop_
_atom_site_label
_atom_site_type_symbol
_atom_site_fract_x
_atom_site_fract_y
_atom_site_fract_z
Rb1 Rb 0.128 0.872 0.500
Rb2 Rb 0.131 0.869 0.874
Rb3 Rb 0.869 0.131 0.374
Rb4 Rb 0.872 0.128 0.000
Zr1 Zr 0.209 0.791 0.209
Zr2 Zr 0.791 0.209 0.709
Al1 Al 0.424 0.576 0.615
Al2 Al 0.576 0.424 0.115
Se1 Se 0.066 0.934 0.215
Se2 Se 0.299 0.701 0.832
Se3 Se 0.310 0.690 0.575
Se4 Se 0.331 0.669 0.186
Se5 Se 0.487 0.513 0.484
Se6 Se 0.513 0.487 0.984
Se7 Se 0.669 0.331 0.686
Se8 Se 0.690 0.310 0.075
Se9 Se 0.701 0.299 0.332
Se10 Se 0.934 0.066 0.715
```

**E_form (uncorrected)**: -25.30 kcal/mol of atoms
**Size of the total moment**: 0.1 μB per formula unit
**DOS(E_F)**: 5.0 states/eV/f.u.